Below is an optimized crystal structure of Nd4Mg2H, with properties calculated at the PBE level.

Lattice parameters (Å, degrees): 4.956 4.956 8.897 106.17 106.17 90.00
Positions (direct):
Nd (0.000, 0.500, 0.000)
Nd (0.500, 0.000, 0.000)
Nd (0.168, 0.168, 0.336)
Nd (0.832, 0.832, 0.664)
Mg (0.634, 0.634, 0.267)
Mg (0.366, 0.366, 0.733)
H (0.000, 0.000, 0.000)

## Properties
VASP energy: -3.6618 eV/atom
magnetic moment: 0.000 μB/f.u.